Entry 1:
In3Cu | PBE | optimized geometry

Cell and atoms, written as POSCAR:
```
In3Cu
1.0
6.134 0.000 0.000
0.000 7.029 0.000
0.000 0.000 8.444
In Cu
12 4
Direct
0.650 0.183 0.556
0.880 0.985 0.250
0.350 0.817 0.056
0.150 0.317 0.056
0.850 0.683 0.944
0.620 0.485 0.250
0.380 0.515 0.750
0.150 0.317 0.444
0.120 0.015 0.750
0.650 0.183 0.944
0.350 0.817 0.444
0.850 0.683 0.556
0.545 0.877 0.750
0.955 0.377 0.750
0.455 0.123 0.250
0.045 0.623 0.250
```

Calculated formation energy: 0.18 eV/f.u.
Energy: -3.03 eV per atom

Entry 2:
InCu | PBE | optimized geometry

Cell and atoms, written as POSCAR:
```
InCu
1.0
-4.649 -1.288 -0.593
2.020 -0.153 4.418
-2.178 7.288 1.248
Cu In
4 4
Direct
0.333 0.667 0.410
0.667 0.333 0.910
0.667 0.333 0.590
0.333 0.667 0.090
0.667 0.333 0.250
0.333 0.667 0.750
0.000 0.000 0.750
0.000 0.000 0.250
```

Calculated formation energy: 0.65 eV/f.u.
Energy: -3.09 eV per atom